# 1
Computed, not measured: BeCrP after structural relaxation at the PBE level of DFT.

Geometry as POSCAR:
```
BeCrP
1.0
-3.401 -2.039 3.331
-0.123 -2.668 -1.759
6.633 -2.465 3.275
P Be Cr
4 4 4
direct
0.129 0.500 0.999
0.700 0.000 0.750
0.700 0.500 0.250
0.129 0.000 0.499
0.429 0.000 0.126
0.304 0.500 0.334
0.304 0.000 0.834
0.429 0.500 0.626
0.999 0.500 0.699
0.626 0.500 0.948
0.999 0.000 0.199
0.626 0.000 0.448
```

Output
**Polymorph energy (0 for the lowest one)**: 116.1 meV per atom
**Space group**: Cm (8)
**DFT total energy**: -6.511 eV per atom
**E_form**: -0.258 eV per atom

# 2
Computed, not measured: RePdRh3 after structural relaxation at the PBE level of DFT.

Geometry as POSCAR:
```
RePdRh3
1.0
4.610 0.000 0.000
0.000 4.610 0.000
0.000 0.000 4.610
Rh Re Pd
3 1 1
direct
0.500 0.000 0.000
0.000 0.000 0.500
0.000 0.500 0.000
0.500 0.500 0.500
0.000 0.000 0.000
```

Output
**Polymorph energy (0 for the lowest one)**: 2006.3 meV per atom
**Space group**: Pm-3m (221)
**DFT total energy**: -5.692 eV per atom
**E_form**: 2.247 eV per atom

# 3
Computed, not measured: CaMo2Ru after structural relaxation at the PBE level of DFT.

Geometry as POSCAR:
```
CaMo2Ru
1.0
5.486 -0.001 0.000
-2.928 4.640 0.000
0.000 0.000 2.715
Mo Ru Ca
2 1 1
direct
0.500 0.500 0.000
0.000 0.000 0.000
0.500 0.000 0.500
0.000 0.500 0.500
```

Output
**Polymorph energy (0 for the lowest one)**: 256.3 meV per atom
**Space group**: Cmmm (65)
**DFT total energy**: -7.568 eV per atom
**E_form**: 0.667 eV per atom

# 4
Computed, not measured: CsK2GaP2 after structural relaxation at the PBE level of DFT.

Geometry as POSCAR:
```
CsK2GaP2
1.0
-5.799 -3.545 -0.904
4.151 -5.510 -5.019
2.291 0.766 8.304
P Ga K Cs
4 2 4 2
direct
0.411 0.573 0.823
0.589 0.427 0.177
0.089 0.750 0.177
0.911 0.250 0.823
0.250 0.500 0.000
0.750 0.500 0.000
0.316 0.139 0.633
0.184 0.506 0.367
0.684 0.861 0.367
0.816 0.494 0.633
0.250 0.000 0.000
0.750 0.000 0.000
```

Output
**Space group**: Ibam (72)
**DFT total energy**: -3.176 eV per atom
**E_form**: -0.360 eV per atom

# 5
Computed, not measured: MgIO2 after structural relaxation at the PBE level of DFT.

Geometry as POSCAR:
```
MgIO2
1.0
1.874 0.000 6.235
-0.937 1.623 6.235
-0.937 -1.623 6.235
O Mg I
2 1 1
direct
0.889 0.889 0.889
0.111 0.111 0.111
0.500 0.500 0.500
0.000 0.000 0.000
```

Output
**Polymorph energy (0 for the lowest one)**: 0.0 meV per atom
**Energy relative to the elements, uncorrected**: -1318 meV/atom
**Space group**: R-3m (166)
**DFT total energy**: -4.583 eV per atom

# 6
Computed, not measured: TaBeIn after structural relaxation at the PBE level of DFT.

Geometry as POSCAR:
```
TaBeIn
1.0
5.889 0.010 0.000
4.359 3.959 0.000
-5.124 -1.984 2.117
Ta Be In
1 1 1
direct
0.645 0.645 0.000
0.008 0.008 0.000
0.347 0.347 0.000
```

Output
**Polymorph energy (0 for the lowest one)**: 16.5 meV per atom
**Space group**: I4mm (107)
**DFT total energy**: -5.810 eV per atom
**E_form**: 0.296 eV per atom